MnSb3F | GGA+U | relaxed

Cell and atoms, written as extended XYZ:
```
5
Lattice="5.1279 0.0000 0.0000 0.0000 5.1279 0.0000 0.0000 0.0000 5.1279" Properties=species:S:1:pos:R:3 pbc="T T T"
Mn 0.0000 0.0000 0.0000
Sb 0.0000 0.0000 2.5640
Sb 0.0000 2.5640 0.0000
Sb 2.5640 0.0000 0.0000
F 2.5640 2.5640 2.5640
```

calculated density = 5.41 Mg/m³
V = 26.97 Å³/atom
E_tot = -20.5 eV per cell
distance to the lowest polymorph of the same formula = 101 kJ/mol of formula units